1.
# GGA-PBE La3Pr3Sn4, optimized geometry
# * magnetization: 0.0001 μB per atom
# * D(E_F): 13.14 states/eV/f.u.
# * energy relative to the elements: -0.695 eV per atom
data_La3Pr3Sn4
_symmetry_space_group_name_H-M 'A m m 2'
_symmetry_Int_Tables_number 38
_symmetry_space_group_name_Hall 'A 2 -2'
_cell_length_a 4.502
_cell_length_b 12.056
_cell_length_c 11.991
_cell_angle_alpha 90.00
_cell_angle_beta 90.00
_cell_angle_gamma 90.00
loop_
_atom_site_label
_atom_site_type_symbol
_atom_site_fract_x
_atom_site_fract_y
_atom_site_fract_z
La1 La 0.000 0.000 0.000
La2 La 0.500 0.250 0.421
Pr1 Pr 0.000 0.000 0.342
Pr2 Pr 0.000 0.170 0.670
Sn1 Sn 0.500 0.000 0.543
Sn2 Sn 0.500 0.000 0.796
Sn3 Sn 0.500 0.129 0.172

---

2.
# GGA-PBE La3PrSn4, optimized geometry
# * magnetization: 0.0000 μB per atom
# * D(E_F): 5.30 states/eV/f.u.
# * energy relative to the elements: -0.613 eV per atom
data_La3PrSn4
_symmetry_space_group_name_H-M 'I m m m'
_symmetry_Int_Tables_number 71
_symmetry_space_group_name_Hall '-I 2 2'
_cell_length_a 3.915
_cell_length_b 7.376
_cell_length_c 18.431
_cell_angle_alpha 90.00
_cell_angle_beta 90.00
_cell_angle_gamma 90.00
loop_
_atom_site_label
_atom_site_type_symbol
_atom_site_fract_x
_atom_site_fract_y
_atom_site_fract_z
La1 La 0.000 0.000 0.000
La2 La 0.000 0.500 0.209
Pr1 Pr 0.000 0.000 0.500
Sn1 Sn 0.000 0.297 0.371

---

3.
# GGA-PBE La5Pr3Sn2, optimized geometry
# * magnetization: 0.0000 μB per atom
# * D(E_F): 13.78 states/eV/f.u.
# * energy relative to the elements: -0.116 eV per atom
data_La5Pr3Sn2
_symmetry_space_group_name_H-M 'I b a m'
_symmetry_Int_Tables_number 72
_symmetry_space_group_name_Hall '-I 2 2c'
_cell_length_a 13.217
_cell_length_b 15.753
_cell_length_c 6.656
_cell_angle_alpha 90.00
_cell_angle_beta 90.00
_cell_angle_gamma 90.00
loop_
_atom_site_label
_atom_site_type_symbol
_atom_site_fract_x
_atom_site_fract_y
_atom_site_fract_z
La1 La 0.000 0.000 0.250
La2 La 0.090 0.155 0.000
La3 La 0.248 0.000 0.250
Pr1 Pr 0.000 0.500 0.250
Pr2 Pr 0.130 0.280 0.500
Sn1 Sn 0.134 0.349 0.000

---

4.
# GGA-PBE LaPr3Sn, optimized geometry
# * magnetization: 0.0001 μB per atom
# * D(E_F): 7.38 states/eV/f.u.
# * energy relative to the elements: -0.214 eV per atom
data_LaPr3Sn
_symmetry_space_group_name_H-M 'P m m n'
_symmetry_Int_Tables_number 59
_cell_length_a 3.700
_cell_length_b 6.773
_cell_length_c 13.954
_cell_angle_alpha 90.00
_cell_angle_beta 90.00
_cell_angle_gamma 90.00
loop_
_symmetry_equiv_pos_as_xyz
'x,y,z'
'-x,-y,-z'
'-x+1/2,-y+1/2,z'
'x+1/2,y+1/2,-z'
'x+1/2,-y,-z'
'-x+1/2,y,z'
'-x,y+1/2,-z'
'x,-y+1/2,z'
loop_
_atom_site_label
_atom_site_type_symbol
_atom_site_fract_x
_atom_site_fract_y
_atom_site_fract_z
La1 La 0.250 0.250 0.012
Pr1 Pr 0.250 0.000 0.779
Pr2 Pr 0.250 0.250 0.427
Sn1 Sn 0.250 0.750 0.380

---

5.
# GGA-PBE La3PrSn2, optimized geometry
# * magnetization: 0.1203 μB per atom
# * D(E_F): 6.48 states/eV/f.u.
# * energy relative to the elements: -0.554 eV per atom
data_La3PrSn2
_symmetry_space_group_name_H-M 'C 1 2/m 1'
_symmetry_Int_Tables_number 12
_symmetry_space_group_name_Hall '-C 2y'
_cell_length_a 18.906
_cell_length_b 4.737
_cell_length_c 10.117
_cell_angle_alpha 90.00
_cell_angle_beta 115.94
_cell_angle_gamma 90.00
loop_
_atom_site_label
_atom_site_type_symbol
_atom_site_fract_x
_atom_site_fract_y
_atom_site_fract_z
La1 La 0.054 0.000 0.191
La2 La 0.150 0.500 0.976
La3 La 0.192 0.500 0.393
Pr1 Pr 0.114 0.000 0.626
Sn1 Sn 0.006 0.500 0.359
Sn2 Sn 0.245 0.000 0.222

---

6.
# GGA-PBE La8Pr2Sn, optimized geometry
# * magnetization: 0.0000 μB per atom
# * D(E_F): 15.46 states/eV/f.u.
# * energy relative to the elements: -0.138 eV per atom
data_La8Pr2Sn
_symmetry_space_group_name_H-M 'C 1 2/m 1'
_symmetry_Int_Tables_number 12
_symmetry_space_group_name_Hall '-C 2y'
_cell_length_a 18.910
_cell_length_b 5.063
_cell_length_c 8.325
_cell_angle_alpha 90.00
_cell_angle_beta 105.58
_cell_angle_gamma 90.00
loop_
_atom_site_label
_atom_site_type_symbol
_atom_site_fract_x
_atom_site_fract_y
_atom_site_fract_z
La1 La 0.044 0.000 0.240
La2 La 0.088 0.500 0.940
La3 La 0.132 0.000 0.675
La4 La 0.175 0.500 0.412
Pr1 Pr 0.227 0.000 0.138
Sn1 Sn 0.000 0.500 0.500

---

7.
# GGA-PBE La2PrSn3, optimized geometry
# * magnetization: 0.0000 μB per atom
# * D(E_F): 6.54 states/eV/f.u.
# * energy relative to the elements: -0.572 eV per atom
data_La2PrSn3
_symmetry_space_group_name_H-M 'I m m m'
_symmetry_Int_Tables_number 71
_symmetry_space_group_name_Hall '-I 2 2'
_cell_length_a 4.752
_cell_length_b 6.524
_cell_length_c 13.435
_cell_angle_alpha 90.00
_cell_angle_beta 90.00
_cell_angle_gamma 90.00
loop_
_atom_site_label
_atom_site_type_symbol
_atom_site_fract_x
_atom_site_fract_y
_atom_site_fract_z
La1 La 0.000 0.000 0.168
Pr1 Pr 0.000 0.000 0.500
Sn1 Sn 0.000 0.500 0.162
Sn2 Sn 0.000 0.500 0.500

---

8.
# GGA-PBE La3PrSn2, optimized geometry
# * magnetization: 0.0000 μB per atom
# * D(E_F): 8.31 states/eV/f.u.
# * energy relative to the elements: -0.315 eV per atom
data_La3PrSn2
_symmetry_space_group_name_H-M 'P m m 2'
_symmetry_Int_Tables_number 25
_symmetry_space_group_name_Hall 'P 2 -2'
_cell_length_a 3.407
_cell_length_b 5.387
_cell_length_c 9.640
_cell_angle_alpha 90.00
_cell_angle_beta 90.00
_cell_angle_gamma 90.00
loop_
_atom_site_label
_atom_site_type_symbol
_atom_site_fract_x
_atom_site_fract_y
_atom_site_fract_z
La1 La 0.000 0.000 0.000
La2 La 0.000 0.000 0.319
La3 La 0.000 0.500 0.827
Pr1 Pr 0.000 0.500 0.501
Sn1 Sn 0.500 0.000 0.659
Sn2 Sn 0.500 0.500 0.163

---

9.
# GGA-PBE LaPrSn, optimized geometry
# * magnetization: 0.0003 μB per atom
# * D(E_F): 4.38 states/eV/f.u.
# * energy relative to the elements: -0.462 eV per atom
data_LaPrSn
_symmetry_space_group_name_H-M 'F -4 3 m'
_symmetry_Int_Tables_number 216
_symmetry_space_group_name_Hall 'F -4 2 3'
_cell_length_a 7.613
_cell_length_b 7.613
_cell_length_c 7.613
_cell_angle_alpha 90.00
_cell_angle_beta 90.00
_cell_angle_gamma 90.00
loop_
_atom_site_label
_atom_site_type_symbol
_atom_site_fract_x
_atom_site_fract_y
_atom_site_fract_z
La1 La 0.000 0.000 0.000
Pr1 Pr 0.000 0.000 0.500
Sn1 Sn 0.250 0.250 0.750

---

10.
# GGA-PBE La2PrSn2, optimized geometry
# * magnetization: 0.0001 μB per atom
# * D(E_F): 6.78 states/eV/f.u.
# * energy relative to the elements: -0.717 eV per atom
data_La2PrSn2
_symmetry_space_group_name_H-M 'P 4/m b m'
_symmetry_Int_Tables_number 127
_symmetry_space_group_name_Hall '-P 4 2ab'
_cell_length_a 8.454
_cell_length_b 8.454
_cell_length_c 4.620
_cell_angle_alpha 90.00
_cell_angle_beta 90.00
_cell_angle_gamma 90.00
loop_
_atom_site_label
_atom_site_type_symbol
_atom_site_fract_x
_atom_site_fract_y
_atom_site_fract_z
La1 La 0.171 0.329 0.000
Pr1 Pr 0.000 0.000 0.500
Sn1 Sn 0.128 0.628 0.500

---

11.
# GGA-PBE La5PrSn6, optimized geometry
# * magnetization: 0.0000 μB per atom
# * D(E_F): 9.63 states/eV/f.u.
# * energy relative to the elements: -0.728 eV per atom
data_La5PrSn6
_symmetry_space_group_name_H-M 'I m m m'
_symmetry_Int_Tables_number 71
_symmetry_space_group_name_Hall '-I 2 2'
_cell_length_a 5.101
_cell_length_b 9.187
_cell_length_c 15.302
_cell_angle_alpha 90.00
_cell_angle_beta 90.00
_cell_angle_gamma 90.00
loop_
_atom_site_label
_atom_site_type_symbol
_atom_site_fract_x
_atom_site_fract_y
_atom_site_fract_z
La1 La 0.000 0.000 0.000
La2 La 0.000 0.000 0.333
La3 La 0.000 0.500 0.333
Pr1 Pr 0.000 0.500 0.000
Sn1 Sn 0.000 0.249 0.500
Sn2 Sn 0.000 0.251 0.166

---

12.
# GGA-PBE LaPr12Sn3, optimized geometry
# * magnetization: 0.0000 μB per atom
# * D(E_F): 17.32 states/eV/f.u.
# * energy relative to the elements: -0.322 eV per atom
data_LaPr12Sn3
_symmetry_space_group_name_H-M 'P 4/m m m'
_symmetry_Int_Tables_number 123
_symmetry_space_group_name_Hall '-P 4 2'
_cell_length_a 5.018
_cell_length_b 5.018
_cell_length_c 20.584
_cell_angle_alpha 90.00
_cell_angle_beta 90.00
_cell_angle_gamma 90.00
loop_
_atom_site_label
_atom_site_type_symbol
_atom_site_fract_x
_atom_site_fract_y
_atom_site_fract_z
La1 La 0.000 0.000 0.000
Pr1 Pr 0.000 0.500 0.136
Pr2 Pr 0.000 0.500 0.379
Pr3 Pr 0.500 0.500 0.000
Pr4 Pr 0.500 0.500 0.259
Pr5 Pr 0.500 0.500 0.500
Sn1 Sn 0.000 0.000 0.257
Sn2 Sn 0.000 0.000 0.500

---

Calculated values (eV/cell) of E for the records, taken in order: -104.2; -80.9; -192.6; -48.7; -123.6; -109.0; -60.2; -29.5; -60.4; -52.4; -124.3; -79.4.